VASP calculation (GGA-PBE) on a relaxed SrNiSb2 crystal.

Properties
**D(E_F)**: 0.896 states/eV/atom
**Calculated volume**: 101.3 Å³ per cell
**Formation energy (no corrections)**: -214 meV per atom

a = 3.7160 Å, b = 3.7160 Å, c = 7.7709 Å
α = 90.00°, β = 90.00°, γ = 109.25°
Sites, in units of the cell vectors:
Ni: 0.5000 0.5000 0.7500
Sb: 0.0000 0.0000 0.5596
Sb: 0.0000 0.0000 0.9404
Sr: 0.5000 0.5000 0.2500


VASP calculation (GGA-PBE) on a relaxed MgPa2Ge crystal.

Properties
**D(E_F)**: 1.760 states/eV/atom
**ΔE_f**: 0.153 eV per atom
**Relative energy among the computed polymorphs**: 232 meV per atom
**Calculated volume**: 96.8 Å³ per cell

a = 3.1196 Å, b = 3.1196 Å, c = 11.6286 Å
α = 82.29°, β = 82.29°, γ = 60.00°
Sites, in units of the cell vectors:
Mg: 0.0000 0.0000 0.0000
Pa: 0.9057 0.9057 0.2828
Pa: 0.0943 0.0943 0.7172
Ge: 0.5000 0.5000 0.5000


VASP calculation (GGA-PBE) on a relaxed NbHgGe crystal.

Properties
**D(E_F)**: 0.551 states/eV/atom
**ΔE_f**: -0.093 eV per atom
**Relative energy among the computed polymorphs**: 0 meV per atom
**Calculated volume**: 124.3 Å³ per cell

a = 3.5046 Å, b = 3.5599 Å, c = 9.9783 Å
α = 90.45°, β = 93.39°, γ = 90.01°
Sites, in units of the cell vectors:
Hg: 0.7699 0.7524 0.0981
Hg: 0.2301 0.2476 0.9019
Nb: 0.2616 0.2518 0.5908
Nb: 0.7384 0.7482 0.4092
Ge: 0.2257 0.2465 0.3153
Ge: 0.7743 0.7535 0.6847


VASP calculation (GGA-PBE) on a relaxed ReSnW crystal.

Properties
**D(E_F)**: 0.624 states/eV/atom
**ΔE_f**: 0.508 eV per atom
**Calculated volume**: 124.5 Å³ per cell

a = 4.4841 Å, b = 4.4831 Å, c = 6.1914 Å
α = 90.00°, β = 90.00°, γ = 90.00°
Sites, in units of the cell vectors:
W: 0.5000 0.0000 0.7042
W: 0.0000 0.5000 0.2958
Re: 0.5000 0.5000 0.5000
Re: 0.0000 0.0000 0.5000
Sn: 0.5000 0.5000 0.0001
Sn: 0.0000 0.0000 0.9999


VASP calculation (GGA-PBE) on a relaxed Rb2CuPdRu crystal.

Properties
**D(E_F)**: 0.756 states/eV/atom
**ΔE_f**: 1.308 eV per atom
**Calculated volume**: 190.5 Å³ per cell

a = 6.2976 Å, b = 4.8023 Å, c = 6.2976 Å
α = 90.00°, β = 90.00°, γ = 90.00°
Site moments in Bohr magnetons follow the coordinates.
Sites, in units of the cell vectors:
Rb: 0.5000 0.0000 0.0000  0.00
Rb: 0.0000 0.0000 0.5000  0.00
Cu: 0.0000 0.0000 0.0000  0.01
Pd: 0.0000 0.5000 0.0000  0.09
Ru: 0.5000 0.5000 0.5000  2.56


VASP calculation (GGA-PBE) on a relaxed Sm2ThTe crystal.

Properties
**D(E_F)**: 0.636 states/eV/atom
**Relative energy among the computed polymorphs**: 0 meV per atom
**Calculated volume**: 123.4 Å³ per cell
**Formation energy (no corrections)**: -586 meV per atom

a = 3.8683 Å, b = 3.8683 Å, c = 8.2455 Å
α = 90.00°, β = 90.00°, γ = 90.00°
Sites, in units of the cell vectors:
Sm: 0.0000 0.0000 0.7752
Sm: 0.0000 0.0000 0.2248
Th: 0.5000 0.5000 0.5000
Te: 0.5000 0.5000 0.0000


VASP calculation (GGA-PBE) on a relaxed ZrBe2AlCr crystal.

Properties
**D(E_F)**: 1.295 states/eV/atom
**ΔE_f**: 1.990 eV per atom
**Calculated volume**: 98.5 Å³ per cell

a = 4.4450 Å, b = 4.9844 Å, c = 4.4450 Å
α = 90.00°, β = 90.00°, γ = 90.00°
Site moments in Bohr magnetons follow the coordinates.
Sites, in units of the cell vectors:
Cr: 0.5000 0.5000 0.5000  0.20
Be: 0.0000 0.0000 0.5000  -0.01
Be: 0.5000 0.0000 0.0000  -0.02
Zr: 0.0000 0.0000 0.0000  -0.09
Al: 0.0000 0.5000 0.0000  -0.01


VASP calculation (GGA-PBE) on a relaxed Y3Zn2BRu3 crystal.

Properties
**D(E_F)**: 0.736 states/eV/atom
**ΔE_f**: -0.317 eV per atom
**Calculated volume**: 157.8 Å³ per cell

a = 3.4623 Å, b = 7.2554 Å, c = 7.2554 Å
α = 120.00°, β = 90.00°, γ = 90.00°
Sites, in units of the cell vectors:
Y: 0.0000 0.3637 0.0000
Y: 0.0000 0.0000 0.3637
Y: 0.0000 0.6363 0.6363
Ru: 0.5000 0.0000 0.7727
Ru: 0.5000 0.2273 0.2273
Ru: 0.5000 0.7727 0.0000
Zn: 0.5000 0.3333 0.6667
Zn: 0.5000 0.6667 0.3333
B: 0.0000 0.0000 0.0000


VASP calculation (GGA-PBE) on a relaxed Ac4Ni3Ag crystal.

Properties
**D(E_F)**: 0.783 states/eV/atom
**ΔE_f**: -0.223 eV per atom
**Calculated volume**: 218.0 Å³ per cell

a = 4.1111 Å, b = 4.6990 Å, c = 11.2833 Å
α = 90.00°, β = 90.00°, γ = 90.00°
Sites, in units of the cell vectors:
Ni: 0.0000 0.0000 0.4322
Ni: 0.5000 0.0000 0.9210
Ni: 0.0000 0.5000 0.5748
Ac: 0.5000 0.0000 0.6349
Ac: 0.0000 0.0000 0.1405
Ac: 0.5000 0.5000 0.3775
Ac: 0.0000 0.5000 0.8493
Ag: 0.5000 0.5000 0.0698


VASP calculation (GGA-PBE) on a relaxed GaTc3 crystal.

Properties
**D(E_F)**: 0.807 states/eV/atom
**ΔE_f**: -0.013 eV per atom
**Relative energy among the computed polymorphs**: 79 meV per atom
**Calculated volume**: 58.4 Å³ per cell

a = 2.8743 Å, b = 4.3951 Å, c = 4.6214 Å
α = 90.00°, β = 90.00°, γ = 90.00°
Sites, in units of the cell vectors:
Tc: 0.0000 0.5000 0.3251
Tc: 0.5000 0.0000 0.5124
Tc: 0.5000 0.5000 0.8306
Ga: 0.0000 0.0000 0.9984


VASP calculation (GGA-PBE) on a relaxed Cs2KZn2 crystal.

Properties
**D(E_F)**: 1.125 states/eV/atom
**ΔE_f**: 0.188 eV per atom
**Relative energy among the computed polymorphs**: 60 meV per atom
**Calculated volume**: 270.5 Å³ per cell

a = 6.1002 Å, b = 6.1002 Å, c = 8.4531 Å
α = 68.85°, β = 68.85°, γ = 90.00°
Sites, in units of the cell vectors:
Cs: 0.7500 0.2500 0.5000
Cs: 0.2500 0.7500 0.5000
K: 0.0000 0.0000 0.0000
Zn: 0.5877 0.5877 0.8247
Zn: 0.4123 0.4123 0.1753


VASP calculation (GGA-PBE) on a relaxed LaEr2Nb crystal.

Properties
**D(E_F)**: 1.713 states/eV/atom
**ΔE_f**: 0.559 eV per atom
**Calculated volume**: 111.7 Å³ per cell

a = 3.3088 Å, b = 3.3088 Å, c = 11.9399 Å
α = 82.04°, β = 82.04°, γ = 60.00°
Site moments in Bohr magnetons follow the coordinates.
Sites, in units of the cell vectors:
Er: 0.0815 0.0815 0.7554  0.07
Er: 0.9185 0.9185 0.2446  0.07
Nb: 0.0000 0.0000 0.0000  0.40
La: 0.5000 0.5000 0.5000  0.01


Number 1: DFT total energy -16.6 eV per cell. Number 2: DFT total energy -24.6 eV per cell. Number 3: DFT total energy -30.5 eV per cell. Number 4: DFT total energy -55.8 eV per cell. Number 5: DFT total energy -14.0 eV per cell. Number 6: DFT total energy -22.3 eV per cell. Number 7: DFT total energy -19.4 eV per cell. Number 8: DFT total energy -59.3 eV per cell. Number 9: DFT total energy -38.4 eV per cell. Number 10: DFT total energy -34.2 eV per cell. Number 11: DFT total energy -4.4 eV per cell. Number 12: DFT total energy -21.9 eV per cell.